a) Here is an optimized crystal structure of ScMnBi3 from the Alexandria database. Energies are from PBE.

a b c (Å): 5.2840 5.2840 5.2840
angles (deg): 90.00 90.00 90.00
Space group Pm-3m (No. 221)
Asymmetric unit:
Sc (0.0000, 0.0000, 0.0000) [1 per cell]
Mn (0.5000, 0.5000, 0.5000) [1 per cell]
Bi (0.0000, 0.5000, 0.5000) [3 per cell]



b) Here is an optimized crystal structure of ScMnBi3 from the Alexandria database. Energies are from PBE.

a b c (Å): 5.5711 5.5711 5.5711
angles (deg): 90.00 90.00 90.00
Space group Pm-3m (No. 221)
Asymmetric unit:
Sc (0.0000, 0.0000, 0.0000) [1 per cell]
Mn (0.5000, 0.5000, 0.5000) [1 per cell]
Bi (0.0000, 0.0000, 0.5000) [3 per cell]



Computed stability ranking, most favorable first: a), b)



a) Here is an optimized crystal structure of MnBi2Se4 from the Alexandria database. Energies are from PBE.

a b c (Å): 13.3419 4.0976 15.5036
angles (deg): 90.00 115.24 90.00
Space group C2/m (No. 12)
Asymmetric unit:
Mn (0.0000, 0.0000, 0.0000) [2 per cell]
Mn (0.0000, 0.0000, 0.5000) [2 per cell]
Bi (0.1494, 0.5000, 0.3628) [4 per cell]
Bi (0.2203, 0.0000, 0.8716) [4 per cell]
Se (0.0132, 0.0000, 0.6719) [4 per cell]
Se (0.1003, 0.5000, 0.9457) [4 per cell]
Se (0.1564, 0.5000, 0.5444) [4 per cell]
Se (0.1626, 0.0000, 0.1763) [4 per cell]



b) Here is an optimized crystal structure of MnBi2Se4 from the Alexandria database. Energies are from PBE.

a b c (Å): 8.3598 8.3690 11.8219
angles (deg): 90.00 90.00 90.00
Space group Imma (No. 74)
Asymmetric unit:
Mn (0.0000, 0.2500, 0.1251) [4 per cell]
Bi (0.0000, 0.0000, 0.5000) [4 per cell]
Bi (0.2500, 0.2500, 0.7500) [4 per cell]
Se (0.0000, 0.0004, 0.2496) [8 per cell]
Se (0.2496, 0.2500, 0.0004) [8 per cell]



Computed stability ranking, most favorable first: a), b)



a) Here is an optimized crystal structure of MnBi3Se from the Alexandria database. Energies are from PBE.

a b c (Å): 5.1538 5.1538 5.1538
angles (deg): 90.00 90.00 90.00
Space group Pm-3m (No. 221)
Asymmetric unit:
Mn (0.0000, 0.0000, 0.0000) [1 per cell]
Bi (0.0000, 0.0000, 0.5000) [3 per cell]
Se (0.5000, 0.5000, 0.5000) [1 per cell]



b) Here is an optimized crystal structure of MnBi3Se from the Alexandria database. Energies are from PBE.

a b c (Å): 5.4991 5.4991 5.4991
angles (deg): 90.00 90.00 90.00
Space group Pm-3m (No. 221)
Asymmetric unit:
Mn (0.0000, 0.0000, 0.0000) [1 per cell]
Bi (0.0000, 0.5000, 0.5000) [3 per cell]
Se (0.5000, 0.5000, 0.5000) [1 per cell]



Computed stability ranking, most favorable first: a), b)



a) Here is an optimized crystal structure of MnSiBi3 from the Alexandria database. Energies are from PBE.

a b c (Å): 5.3560 5.3560 5.3560
angles (deg): 90.00 90.00 90.00
Space group Pm-3m (No. 221)
Asymmetric unit:
Mn (0.0000, 0.0000, 0.0000) [1 per cell]
Si (0.5000, 0.5000, 0.5000) [1 per cell]
Bi (0.0000, 0.5000, 0.5000) [3 per cell]



b) Here is an optimized crystal structure of MnSiBi3 from the Alexandria database. Energies are from PBE.

a b c (Å): 5.0957 5.0957 5.0957
angles (deg): 90.00 90.00 90.00
Space group Pm-3m (No. 221)
Asymmetric unit:
Mn (0.0000, 0.0000, 0.0000) [1 per cell]
Si (0.5000, 0.5000, 0.5000) [1 per cell]
Bi (0.0000, 0.0000, 0.5000) [3 per cell]



Computed stability ranking, most favorable first: b), a)



a) Here is an optimized crystal structure of Mn3SiBi from the Alexandria database. Energies are from PBE.

a b c (Å): 5.1178 5.1178 5.1178
angles (deg): 90.00 90.00 90.00
Space group Pm-3m (No. 221)
Asymmetric unit:
Mn (0.0000, 0.0000, 0.5000) [3 per cell]
Si (0.5000, 0.5000, 0.5000) [1 per cell]
Bi (0.0000, 0.0000, 0.0000) [1 per cell]



b) Here is an optimized crystal structure of Mn3SiBi from the Alexandria database. Energies are from PBE.

a b c (Å): 4.5316 4.5316 4.5316
angles (deg): 90.00 90.00 90.00
Space group Pm-3m (No. 221)
Asymmetric unit:
Mn (0.0000, 0.0000, 0.5000) [3 per cell]
Si (0.0000, 0.0000, 0.0000) [1 per cell]
Bi (0.5000, 0.5000, 0.5000) [1 per cell]



Computed stability ranking, most favorable first: b), a)



a) Here is an optimized crystal structure of SrMn3Bi from the Alexandria database. Energies are from PBE.

a b c (Å): 5.1639 5.1639 5.1639
angles (deg): 90.00 90.00 90.00
Space group Pm-3m (No. 221)
Asymmetric unit:
Sr (0.0000, 0.0000, 0.0000) [1 per cell]
Mn (0.0000, 0.0000, 0.5000) [3 per cell]
Bi (0.5000, 0.5000, 0.5000) [1 per cell]



b) Here is an optimized crystal structure of SrMn3Bi from the Alexandria database. Energies are from PBE.

a b c (Å): 5.2010 5.2010 5.2010
angles (deg): 90.00 90.00 90.00
Space group Pm-3m (No. 221)
Asymmetric unit:
Sr (0.0000, 0.0000, 0.0000) [1 per cell]
Mn (0.0000, 0.5000, 0.5000) [3 per cell]
Bi (0.5000, 0.5000, 0.5000) [1 per cell]



Computed stability ranking, most favorable first: b), a)